# Th8NiP3Se4 | the Alexandria database | PBE | relaxed
data_Th8NiP3Se4
_cell_length_a 8.3098
_cell_length_b 8.3098
_cell_length_c 20.6871
_cell_angle_alpha 90.00
_cell_angle_beta 90.00
_cell_angle_gamma 120.00
_symmetry_space_group_name_H-M 'R -3 m'
_symmetry_Int_Tables_number 166
_symmetry_space_group_name_Hall '-R 3 2"'
loop_
_atom_site_label
_atom_site_type_symbol
_atom_site_fract_x
_atom_site_fract_y
_atom_site_fract_z
_atom_site_occupancy
Th1 Th 0.0000 0.0000 0.2433 1
Th2 Th 0.0042 0.5021 0.2427 1
Ni1 Ni 0.0000 0.0000 0.5000 1
P1 P 0.0000 0.5000 0.5000 1
Se1 Se 0.0000 0.0000 0.0000 1
Se2 Se 0.0000 0.5000 0.0000 1
# - Size of the total moment: 0.0 Bohr magnetons per cell
# - Electronic total energy: -7.394 eV/atom
# - Raw formation energy: -1.438 eV per atom
# - Theoretical density: 9.36 g cm⁻³

***

# HfTiNiMo | the Alexandria database | PBE | relaxed
data_HfTiNiMo
_cell_length_a 3.2138
_cell_length_b 3.2138
_cell_length_c 6.2239
_cell_angle_alpha 90.00
_cell_angle_beta 90.00
_cell_angle_gamma 90.00
_symmetry_space_group_name_H-M 'P 4 m m'
_symmetry_Int_Tables_number 99
_symmetry_space_group_name_Hall 'P 4 -2'
loop_
_atom_site_label
_atom_site_type_symbol
_atom_site_fract_x
_atom_site_fract_y
_atom_site_fract_z
_atom_site_occupancy
Hf1 Hf 0.0000 0.0000 0.0000 1
Ti1 Ti 0.0000 0.0000 0.4958 1
Ni1 Ni 0.5000 0.5000 0.2507 1
Mo1 Mo 0.5000 0.5000 0.7276 1
# - Size of the total moment: 0.0 Bohr magnetons per cell
# - Electronic total energy: -8.887 eV/atom
# - Theoretical density: 9.84 g cm⁻³
# - ΔE to the lowest computed polymorph: 0.0000 eV per atom